## TiNbPd4 (PBE)

Data for crystalline TiNbPd4 at its relaxed geometry.

Computed properties:
The value obtained for the energy above the most stable polymorph in this dataset is 0.0 meV per atom. The calculation puts the total energy at -6.967 eV per atom.

Cell: 3.8059 2.9105 8.5231 Å, 90.00 90.00 90.00°
Element x y z (fractional)
1 Ti 0.0000 0.0000 0.0000
2 Nb 0.5000 0.5000 0.5000
3 Pd 0.0000 0.9999 0.6666
4 Pd 0.5000 0.4999 0.8391
5 Pd 0.5000 0.5001 0.1609
6 Pd 0.0000 0.0001 0.3334